Material: TaCuSnPd
Method: DFT, PBE
State: relaxed

Values from the calculation:
**Excess energy over the best structure of this formula in the dataset**: 0 meV per atom
**Spin magnetization**: 0.0 μB per cell
**Theoretical density**: 11.69 Mg/m³

```
data_TaCuSnPd
_chemical_formula_sum 'Ta4 Cu4 Sn4 Pd4'
_cell_length_a 6.4382
_cell_length_b 6.4382
_cell_length_c 6.4382
_cell_angle_alpha 90.00
_cell_angle_beta 90.00
_cell_angle_gamma 90.00
_space_group_name_H-M_alt 'F -4 3 m'
_space_group_IT_number 216
_space_group_name_Hall 'F -4 2 3'
loop_
_atom_site_label
_atom_site_type_symbol
_atom_site_fract_x
_atom_site_fract_y
_atom_site_fract_z
Ta1 Ta 0.0000 0.0000 0.0000
Cu1 Cu 0.2500 0.2500 0.7500
Sn1 Sn 0.0000 0.0000 0.5000
Pd1 Pd 0.2500 0.2500 0.2500
```